Below is a geometry-optimized Ga2HSBr structure, with properties calculated at the PBE-GGA level.

* total magnetic moment: 0.355 μB/f.u.
* volume: 32.9 Å³/atom
* energy: -11.12 eV for the cell shown
* symmetry: P4/mmm, No. 123

a b c (Å): 5.822 4.851 5.822
angles (deg): 90.00 90.00 90.00
Last column: magnetic moment on the atom in μB.
Atoms (fractional coordinates):
S 0.000 0.500 0.000  0.05
H 0.500 0.500 0.500  0.16
Ga 0.000 0.000 0.500  -0.02
Ga 0.500 0.000 0.000  -0.02
Br 0.000 0.000 0.000  0.01